BeSb2TeS: single point on PBEsol structure, SCAN.

Unit cell a=4.928 b=4.928 c=4.641 alpha=90.00 beta=90.00 gamma=90.00
Fractional coordinates of all 5 atoms:
Be  0.000  0.000  0.000
Sb  0.000  0.500  0.000
Sb  0.500  0.000  0.000
Te  0.000  0.000  0.500
S  0.500  0.500  0.500


NiRhBr: single point on PBEsol structure, SCAN.

Unit cell a=4.157 b=4.157 c=4.157 alpha=60.00 beta=60.00 gamma=60.00
Fractional coordinates of all 3 atoms:
Ni  0.000  0.000  0.000
Rh  0.250  0.250  0.250
Br  0.500  0.500  0.500


KPtSe2: single point on PBEsol structure, SCAN.

Unit cell a=3.358 b=3.358 c=8.524 alpha=90.00 beta=90.00 gamma=90.00
Fractional coordinates of all 4 atoms:
K  0.000  0.000  0.000
Pt  0.500  0.500  0.317
Se  0.000  0.000  0.404
Se  0.500  0.500  0.741


TaSiRu: single point on PBEsol structure, SCAN.

Unit cell a=7.363 b=7.363 c=7.363 alpha=121.32 beta=82.18 gamma=128.04
Fractional coordinates of all 18 atoms:
Ta  0.002  0.250  0.252
Ta  0.419  0.388  0.531
Ta  0.428  0.873  0.054
Ta  0.819  0.373  0.946
Ta  0.858  0.888  0.469
Ta  0.998  0.750  0.748
Si  0.087  0.424  0.671
Si  0.087  0.916  0.163
Si  0.385  0.165  0.721
Si  0.444  0.665  0.279
Si  0.753  0.416  0.329
Si  0.753  0.924  0.837
Ru  0.171  0.329  0.910
Ru  0.171  0.761  0.342
Ru  0.419  0.261  0.090
Ru  0.419  0.829  0.658
Ru  0.666  0.166  0.500
Ru  0.666  0.666  0.000


Record-wise E_tot values, in eV/atom: -24.53, -22.53, -29.89, -37.81
Record-wise total magnetization values, in μB/atom: 0.0000, 0.7022, 0.0000, 0.0000